(1)
Computed, not measured: an optimized crystal structure of Sc2RuN at the PBEsol level of DFT.

```
Sc2RuN
1.0
3.0731 0.0000 0.0000
-1.5366 2.6614 0.0000
0.0000 0.0000 21.7460
Sc Ru N
6 3 3
Direct
0.0000 0.0000 0.1089
0.0000 0.0000 0.8911
0.3333 0.6667 0.5578
0.3333 0.6667 0.7755
0.6667 0.3333 0.2245
0.6667 0.3333 0.4422
0.0000 0.0000 0.0000
0.3333 0.6667 0.6667
0.6667 0.3333 0.3333
0.0000 0.0000 0.5000
0.3333 0.6667 0.1667
0.6667 0.3333 0.8333
```

Computed properties:
ΔE_f (raw) in eV/atom: -0.76
Theoretical density in g/cm3: 5.74



(2)
Computed, not measured: an optimized crystal structure of RuSeN3 at the PBEsol level of DFT.

```
RuSeN3
1.0
3.8483 0.0000 0.0000
0.0000 3.8483 0.0000
0.0000 0.0000 3.8483
Ru Se N
1 1 3
Direct
0.0000 0.0000 0.0000
0.5000 0.5000 0.5000
0.0000 0.0000 0.5000
0.0000 0.5000 0.0000
0.5000 0.0000 0.0000
```

Computed properties:
ΔE_f (raw) in eV/atom: 1.34
Theoretical density in g/cm3: 6.47



(3)
Computed, not measured: an optimized crystal structure of RuSe3N at the PBEsol level of DFT.

```
RuSe3N
1.0
4.2162 0.0000 0.0000
0.0000 4.2162 0.0000
0.0000 0.0000 4.2162
Ru Se N
1 3 1
Direct
0.0000 0.0000 0.0000
0.0000 0.5000 0.5000
0.5000 0.0000 0.5000
0.5000 0.5000 0.0000
0.5000 0.5000 0.5000
```

Computed properties:
ΔE_f (raw) in eV/atom: 1.02
Theoretical density in g/cm3: 7.80